1.
DyNiSb | SCAN | single point on PBEsol structure

Cell: 4.4227 4.4227 4.4227 Å, 60.00 60.00 60.00°
Last column: nearest neighbours and their distance in Å.
Sites, in units of the cell vectors:
Dy1 0.0000 0.0000 0.0000  4 Ni 2.71
Ni1 0.2500 0.2500 0.2500  4 Dy 2.71, 4 Sb 2.71
Sb1 0.5000 0.5000 0.5000  4 Ni 2.71

## Properties
- ΔE_f (raw): -1.02 eV/atom
- Magnetization: 0.0 μB/f.u.

***

2.
Dy2NiSb4 | SCAN | single point on PBEsol structure

Cell: 4.2728 4.2728 9.1475 Å, 90.00 90.00 90.00°
Last column: nearest neighbours and their distance in Å.
Sites, in units of the cell vectors:
Dy1 0.0000 0.5000 0.2333  2 Ni 3.02, 9 Sb 3.16-3.35
Dy2 0.5000 0.0000 0.7667  2 Ni 3.02, 9 Sb 3.16-3.35
Ni1 0.0000 0.0000 0.0000  4 Sb 2.46
Sb1 0.0000 0.0000 0.5000  4 Sb 3.02, 4 Dy 3.24
Sb2 0.0000 0.5000 0.8670  2 Ni 2.46
Sb3 0.5000 0.0000 0.1330  2 Ni 2.46
Sb4 0.5000 0.5000 0.5000  4 Sb 3.02, 4 Dy 3.24

## Properties
- DOS(E_F): 3.1 states/eV/f.u.
- ΔE_f (raw): -0.82 eV/atom
- Magnetization: 0.0 μB/f.u.

***

3.
Dy3Si2Ni | SCAN | single point on PBEsol structure

Cell: 11.1393 4.0774 11.0523 Å, 90.00 90.00 90.00°
Last column: nearest neighbours and their distance in Å.
Sites, in units of the cell vectors:
Dy1 0.0578 0.2500 0.1233  1 Ni 2.79, 4 Si 2.93-2.94
Dy2 0.1166 0.7500 0.5604  3 Ni 2.87-2.97, 5 Si 2.92-2.99
Dy3 0.2142 0.2500 0.8035  2 Ni 2.76, 4 Si 2.90-2.96
Dy4 0.2858 0.7500 0.3035  2 Ni 2.76, 4 Si 2.90-2.96
Dy5 0.3834 0.2500 0.0604  3 Ni 2.87-2.97, 5 Si 2.92-2.99
Dy6 0.4422 0.7500 0.6233  1 Ni 2.79, 4 Si 2.93-2.94
Dy7 0.5578 0.2500 0.3767  1 Ni 2.79, 4 Si 2.93-2.94
Dy8 0.6166 0.7500 0.9396  3 Ni 2.87-2.97, 5 Si 2.92-2.99
Dy9 0.7142 0.2500 0.6965  2 Ni 2.76, 4 Si 2.90-2.96
Dy10 0.7858 0.7500 0.1965  2 Ni 2.76, 4 Si 2.90-2.96
Dy11 0.8834 0.2500 0.4396  3 Ni 2.87-2.97, 5 Si 2.92-2.99
Dy12 0.9422 0.7500 0.8767  1 Ni 2.79, 4 Si 2.93-2.94
Si1 0.0256 0.7500 0.3121  2 Ni 2.42
Si2 0.1983 0.7500 0.9959  1 Ni 2.40
Si3 0.3017 0.2500 0.4959  1 Ni 2.40
Si4 0.4744 0.2500 0.8121  2 Ni 2.42
Si5 0.5256 0.7500 0.1879  2 Ni 2.42
Si6 0.6983 0.7500 0.5041  1 Ni 2.40
Si7 0.8017 0.2500 0.0041  1 Ni 2.40
Si8 0.9744 0.2500 0.6879  2 Ni 2.42
Ni1 0.1297 0.2500 0.3650  3 Si 2.40-2.42
Ni2 0.3703 0.7500 0.8650  3 Si 2.40-2.42
Ni3 0.6297 0.2500 0.1350  3 Si 2.40-2.42
Ni4 0.8703 0.7500 0.6350  3 Si 2.40-2.42

## Properties
- DOS(E_F): 4.4 states/eV/f.u.
- ΔE_f (raw): -0.77 eV/atom
- Magnetization: 0.0 μB/f.u.

***

4.
DySi2Ni2 | SCAN | single point on PBEsol structure

Cell: 5.4622 5.4622 5.4622 Å, 137.92 137.92 61.02°
Last column: nearest neighbours and their distance in Å.
Sites, in units of the cell vectors:
Dy1 0.0000 0.0000 0.0000  8 Si 3.02, 8 Ni 3.06
Si1 0.3729 0.3729 0.0000  4 Ni 2.28, 1 Si 2.39
Si2 0.6271 0.6271 0.0000  4 Ni 2.28, 1 Si 2.39
Ni1 0.2500 0.7500 0.5000  4 Si 2.28
Ni2 0.7500 0.2500 0.5000  4 Si 2.28

## Properties
- DOS(E_F): 3.2 states/eV/f.u.
- ΔE_f (raw): -0.88 eV/atom
- Magnetization: 0.0 μB/f.u.

***

5.
Dy2Si5Ni3 | SCAN | single point on PBEsol structure

Cell: 7.7773 7.7773 7.7773 Å, 104.99 90.01 137.83°
Last column: nearest neighbours and their distance in Å.
Sites, in units of the cell vectors:
Dy1 0.1319 0.2361 0.3680  10 Si 2.82-3.08, 4 Ni 2.95-3.15
Dy2 0.3681 0.7361 0.1042  10 Si 2.82-3.08, 4 Ni 2.95-3.15
Dy3 0.6319 0.2639 0.8958  10 Si 2.82-3.08, 4 Ni 2.95-3.15
Dy4 0.8681 0.7639 0.6320  10 Si 2.82-3.08, 4 Ni 2.95-3.15
Si1 0.0163 0.7500 0.2663  2 Ni 2.28, 2 Si 2.45
Si2 0.1064 0.6530 0.7594  3 Ni 2.24-2.33, 2 Si 2.45
Si3 0.2500 0.2500 0.0000  4 Ni 2.30
Si4 0.3936 0.1530 0.5467  3 Ni 2.24-2.33, 2 Si 2.45
Si5 0.4837 0.7500 0.7337  2 Ni 2.28, 2 Si 2.45
Si6 0.5163 0.2500 0.2663  2 Ni 2.28, 2 Si 2.45
Si7 0.6064 0.8470 0.4533  3 Ni 2.24-2.33, 2 Si 2.45
Si8 0.7500 0.7500 0.0000  4 Ni 2.30
Si9 0.8936 0.3470 0.2406  3 Ni 2.24-2.33, 2 Si 2.45
Si10 0.9837 0.2500 0.7337  2 Ni 2.28, 2 Si 2.45
Ni1 0.1342 0.8876 0.0218  5 Si 2.24-2.30
Ni2 0.2500 0.7500 0.5000  6 Si 2.33-2.57
Ni3 0.3658 0.3876 0.7533  5 Si 2.24-2.30
Ni4 0.6342 0.6124 0.2467  5 Si 2.24-2.30
Ni5 0.7500 0.2500 0.5000  6 Si 2.33-2.57
Ni6 0.8658 0.1124 0.9782  5 Si 2.24-2.30

## Properties
- DOS(E_F): 2.4 states/eV/f.u.
- ΔE_f (raw): -0.83 eV/atom
- Magnetization: 0.0 μB/f.u.

***

6.
DySiNi | SCAN | single point on PBEsol structure

Cell: 6.7912 4.1186 7.0278 Å, 90.00 90.00 90.00°
Last column: nearest neighbours and their distance in Å.
Sites, in units of the cell vectors:
Dy1 0.0111 0.2500 0.1981  6 Ni 2.83-3.13, 6 Si 2.88-3.00
Dy2 0.4889 0.7500 0.6981  6 Ni 2.83-3.13, 6 Si 2.88-3.00
Dy3 0.5111 0.2500 0.3019  6 Ni 2.83-3.13, 6 Si 2.88-3.00
Dy4 0.9889 0.7500 0.8019  6 Ni 2.83-3.13, 6 Si 2.88-3.00
Si1 0.1877 0.2500 0.5885  4 Ni 2.39-2.54
Si2 0.3123 0.7500 0.0885  4 Ni 2.39-2.54
Si3 0.6877 0.2500 0.9115  4 Ni 2.39-2.54
Si4 0.8123 0.7500 0.4115  4 Ni 2.39-2.54
Ni1 0.1859 0.7500 0.4166  4 Si 2.39-2.54
Ni2 0.3141 0.2500 0.9166  4 Si 2.39-2.54
Ni3 0.6859 0.7500 0.0834  4 Si 2.39-2.54
Ni4 0.8141 0.2500 0.5834  4 Si 2.39-2.54

## Properties
- DOS(E_F): 1.8 states/eV/f.u.
- ΔE_f (raw): -0.84 eV/atom
- Magnetization: 0.0 μB/f.u.

***

7.
DySi3Ni5 | SCAN | single point on PBEsol structure

Cell: 18.4792 3.7399 6.5621 Å, 90.00 90.00 90.00°
Last column: nearest neighbours and their distance in Å.
Sites, in units of the cell vectors:
Dy1 0.1438 0.2500 0.1232  6 Si 2.88-2.91, 10 Ni 2.93-3.18
Dy2 0.3562 0.7500 0.6232  6 Si 2.88-2.91, 10 Ni 2.93-3.18
Dy3 0.6438 0.2500 0.3768  6 Si 2.88-2.91, 10 Ni 2.93-3.18
Dy4 0.8562 0.7500 0.8768  6 Si 2.88-2.91, 10 Ni 2.93-3.18
Si1 0.0743 0.7500 0.8456  7 Ni 2.24-2.41
Si2 0.0862 0.7500 0.4184  7 Ni 2.23-2.45
Si3 0.2374 0.2500 0.6206  7 Ni 2.27-2.37
Si4 0.2626 0.7500 0.1206  7 Ni 2.27-2.37
Si5 0.4138 0.2500 0.9184  7 Ni 2.23-2.45
Si6 0.4257 0.2500 0.3456  7 Ni 2.24-2.41
Si7 0.5743 0.7500 0.6544  7 Ni 2.24-2.41
Si8 0.5862 0.7500 0.0816  7 Ni 2.23-2.45
Si9 0.7374 0.2500 0.8794  7 Ni 2.27-2.37
Si10 0.7626 0.7500 0.3794  7 Ni 2.27-2.37
Si11 0.9138 0.2500 0.5816  7 Ni 2.23-2.45
Si12 0.9257 0.2500 0.1544  7 Ni 2.24-2.41
Ni1 0.0053 0.7500 0.1343  4 Si 2.28-2.39, 2 Ni 2.50
Ni2 0.0152 0.2500 0.3847  4 Si 2.24-2.30, 4 Ni 2.47-2.50
Ni3 0.1147 0.2500 0.6448  5 Si 2.27-2.45, 1 Ni 2.51
Ni4 0.1994 0.7500 0.8140  4 Si 2.32-2.37, 1 Ni 2.53
Ni5 0.2070 0.7500 0.4296  4 Si 2.23-2.32
Ni6 0.2930 0.2500 0.9296  4 Si 2.23-2.32
Ni7 0.3006 0.2500 0.3140  4 Si 2.32-2.37, 1 Ni 2.53
Ni8 0.3853 0.7500 0.1448  5 Si 2.27-2.45, 1 Ni 2.51
Ni9 0.4848 0.7500 0.8847  4 Si 2.24-2.30, 4 Ni 2.47-2.50
Ni10 0.4947 0.2500 0.6343  4 Si 2.28-2.39, 2 Ni 2.50
Ni11 0.5053 0.7500 0.3657  4 Si 2.28-2.39, 2 Ni 2.50
Ni12 0.5152 0.2500 0.1153  4 Si 2.24-2.30, 4 Ni 2.47-2.50
Ni13 0.6147 0.2500 0.8552  5 Si 2.27-2.45, 1 Ni 2.51
Ni14 0.6994 0.7500 0.6860  4 Si 2.32-2.37, 1 Ni 2.53
Ni15 0.7070 0.7500 0.0704  4 Si 2.23-2.32
Ni16 0.7930 0.2500 0.5704  4 Si 2.23-2.32
Ni17 0.8006 0.2500 0.1860  4 Si 2.32-2.37, 1 Ni 2.53
Ni18 0.8853 0.7500 0.3552  5 Si 2.27-2.45, 1 Ni 2.51
Ni19 0.9848 0.7500 0.6153  4 Si 2.24-2.30, 4 Ni 2.47-2.50
Ni20 0.9947 0.2500 0.8657  4 Si 2.28-2.39, 2 Ni 2.50

## Properties
- DOS(E_F): 3.9 states/eV/f.u.
- ΔE_f (raw): -0.74 eV/atom
- Magnetization: 0.0 μB/f.u.

***

8.
Dy6Ni2Sn | SCAN | single point on PBEsol structure

Cell: 8.2758 8.2758 8.2758 Å, 113.33 109.51 105.66°
Last column: nearest neighbours and their distance in Å.
Sites, in units of the cell vectors:
Dy1 0.0285 0.2325 0.7959  1 Ni 2.72, 1 Sn 3.03
Dy2 0.1827 0.2928 0.4755  3 Ni 2.85-3.12, 1 Sn 3.18
Dy3 0.1827 0.7072 0.8899  3 Ni 2.85-3.12, 1 Sn 3.18
Dy4 0.3247 0.0157 0.6911  3 Ni 2.66-2.84
Dy5 0.3247 0.6336 0.3089  3 Ni 2.66-2.84
Dy6 0.4366 0.2325 0.2041  1 Ni 2.72, 1 Sn 3.03
Dy7 0.5634 0.7675 0.7959  1 Ni 2.72, 1 Sn 3.03
Dy8 0.6753 0.3664 0.6911  3 Ni 2.66-2.84
Dy9 0.6753 0.9843 0.3089  3 Ni 2.66-2.84
Dy10 0.8173 0.2928 0.1101  3 Ni 2.85-3.12, 1 Sn 3.18
Dy11 0.8173 0.7072 0.5245  3 Ni 2.85-3.12, 1 Sn 3.18
Dy12 0.9715 0.7675 0.2041  1 Ni 2.72, 1 Sn 3.03
Ni1 0.1232 0.6232 0.5000  1 Ni 2.46, 2 Dy 2.66
Ni2 0.3522 0.0000 0.3522  6 Dy 2.72-2.84, 1 Ni 2.82
Ni3 0.6478 0.0000 0.6478  6 Dy 2.72-2.84, 1 Ni 2.82
Ni4 0.8768 0.3768 0.5000  1 Ni 2.46, 2 Dy 2.66
Sn1 0.0000 0.0000 0.0000  8 Dy 3.03-3.18, 2 Ni 3.36
Sn2 0.5000 0.5000 0.0000  12 Dy 3.31-3.57

## Properties
- Formation energy: -447 meV/atom
- DOS(E_F): 7.4 states/eV/f.u.
- Magnetization: 0.0 μB/f.u.